(1)
The following is a SCAN calculation of a PBEsol-optimized structure of BeFeNi6, from the Alexandria database.

Summary:
- Density: 8.6 g cm⁻³
- Total DFT energy (no corrections): -1.1117 Ry/atom
- Formation energy from the elements: -0.18 eV/atom

Unit cell a=5.946 b=5.946 c=9.727 alpha=90.00 beta=90.00 gamma=109.78
Fractional coordinates of all 32 atoms:
1 Be 0.254 0.746 0.500
2 Be 0.746 0.254 0.500
3 Be 0.000 0.000 0.745
4 Be 0.000 0.000 0.255
5 Fe 0.253 0.747 0.000
6 Fe 0.747 0.253 0.000
7 Fe 0.500 0.500 0.746
8 Fe 0.500 0.500 0.254
9 Ni 0.249 0.751 0.746
10 Ni 0.878 0.630 0.873
11 Ni 0.122 0.370 0.873
12 Ni 0.751 0.249 0.746
13 Ni 0.370 0.122 0.873
14 Ni 0.630 0.878 0.873
15 Ni 0.500 0.500 0.500
16 Ni 0.121 0.372 0.623
17 Ni 0.372 0.121 0.623
18 Ni 0.249 0.751 0.254
19 Ni 0.879 0.628 0.377
20 Ni 0.121 0.372 0.377
21 Ni 0.751 0.249 0.254
22 Ni 0.372 0.121 0.377
23 Ni 0.628 0.879 0.377
24 Ni 0.500 0.500 0.000
25 Ni 0.122 0.370 0.127
26 Ni 0.370 0.122 0.127
27 Ni 0.000 0.000 0.500
28 Ni 0.628 0.879 0.623
29 Ni 0.879 0.628 0.623
30 Ni 0.000 0.000 0.000
31 Ni 0.630 0.878 0.127
32 Ni 0.878 0.630 0.127

(2)
The following is a SCAN calculation of a PBEsol-optimized structure of BeFeNi2, from the Alexandria database.

Summary:
- Density: 7.6 g cm⁻³
- Total DFT energy (no corrections): -1.0280 Ry/atom
- Formation energy from the elements: -0.28 eV/atom

Unit cell a=3.495 b=3.495 c=4.094 alpha=115.27 beta=115.27 gamma=90.00
Fractional coordinates of all 4 atoms:
1 Ni 0.750 0.250 0.500
2 Ni 0.250 0.750 0.500
3 Fe 0.000 0.000 0.000
4 Be 0.500 0.500 0.000

(3)
The following is a SCAN calculation of a PBEsol-optimized structure of BeFeNi2, from the Alexandria database.

Summary:
- Density: 7.9 g cm⁻³
- Total DFT energy (no corrections): -1.0323 Ry/atom
- Formation energy from the elements: -0.34 eV/atom

Unit cell a=2.483 b=2.483 c=6.243 alpha=90.00 beta=90.00 gamma=90.00
Fractional coordinates of all 4 atoms:
1 Ni 0.000 0.000 0.780
2 Ni 0.000 0.000 0.220
3 Fe 0.500 0.500 0.500
4 Be 0.500 0.500 0.000

(4)
The following is a SCAN calculation of a PBEsol-optimized structure of BeFe2Ni, from the Alexandria database.

Summary:
- Density: 7.5 g cm⁻³
- Total DFT energy (no corrections): -1.0508 Ry/atom
- Formation energy from the elements: -0.10 eV/atom

Unit cell a=3.295 b=3.295 c=4.331 alpha=112.36 beta=112.36 gamma=90.00
Fractional coordinates of all 4 atoms:
1 Ni 0.500 0.500 0.000
2 Fe 0.750 0.250 0.500
3 Fe 0.250 0.750 0.500
4 Be 0.000 0.000 0.000

(5)
The following is a SCAN calculation of a PBEsol-optimized structure of BeFe2O4, from the Alexandria database.

Summary:
- Density: 5.4 g cm⁻³
- Total DFT energy (no corrections): -0.8322 Ry/atom
- Formation energy from raw total energies: -1960 meV/atom

Unit cell a=4.444 b=5.383 c=9.457 alpha=90.00 beta=90.00 gamma=90.00
Fractional coordinates of all 28 atoms:
1 Be 0.429 0.250 0.093
2 Be 0.071 0.250 0.593
3 Be 0.929 0.750 0.407
4 Be 0.571 0.750 0.907
5 Fe 0.500 0.500 0.500
6 Fe 0.500 0.000 0.500
7 Fe 0.498 0.750 0.233
8 Fe 0.002 0.750 0.733
9 Fe 0.000 0.000 0.000
10 Fe 0.000 0.500 0.000
11 Fe 0.998 0.250 0.267
12 Fe 0.502 0.250 0.767
13 O 0.273 0.250 0.934
14 O 0.257 0.487 0.164
15 O 0.257 0.013 0.164
16 O 0.282 0.750 0.406
17 O 0.218 0.750 0.906
18 O 0.243 0.487 0.664
19 O 0.243 0.013 0.664
20 O 0.227 0.250 0.434
21 O 0.773 0.750 0.566
22 O 0.757 0.987 0.336
23 O 0.757 0.513 0.336
24 O 0.782 0.250 0.094
25 O 0.718 0.250 0.594
26 O 0.743 0.987 0.836
27 O 0.743 0.513 0.836
28 O 0.727 0.750 0.066

(6)
The following is a SCAN calculation of a PBEsol-optimized structure of BeFeRuO2, from the Alexandria database.

Summary:
- Density: 5.6 g cm⁻³
- Total DFT energy (no corrections): -1.0223 Ry/atom
- Formation energy from raw total energies: 45 meV/atom

Unit cell a=3.375 b=3.375 c=5.172 alpha=90.00 beta=90.00 gamma=90.00
Fractional coordinates of all 5 atoms:
1 Ru 0.000 0.000 0.500
2 Fe 0.000 0.000 0.000
3 O 0.000 0.500 0.000
4 O 0.500 0.000 0.000
5 Be 0.500 0.500 0.500

(7)
The following is a SCAN calculation of a PBEsol-optimized structure of Be2FeOs, from the Alexandria database.

Summary:
- Offset from the most stable computed form: 179 meV per atom
- Density: 10.3 g cm⁻³
- Total DFT energy (no corrections): -1.8130 Ry/atom
- Formation energy from the elements: 0.01 eV/atom

Unit cell a=2.518 b=2.518 c=7.241 alpha=90.00 beta=90.00 gamma=111.71
Fractional coordinates of all 4 atoms:
1 Be 0.000 0.000 0.262
2 Be 0.000 0.000 0.738
3 Os 0.500 0.500 0.000
4 Fe 0.500 0.500 0.500

(8)
The following is a SCAN calculation of a PBEsol-optimized structure of Be2FeOs, from the Alexandria database.

Summary:
- Offset from the most stable computed form: 0 meV per atom
- Density: 10.5 g cm⁻³
- Total DFT energy (no corrections): -1.8261 Ry/atom
- Formation energy from the elements: -0.17 eV/atom

Unit cell a=3.018 b=3.526 c=3.934 alpha=90.00 beta=90.00 gamma=90.00
Fractional coordinates of all 4 atoms:
1 Be 0.000 0.000 0.000
2 Be 0.500 0.000 0.500
3 Os 0.000 0.500 0.500
4 Fe 0.500 0.500 0.000

(9)
The following is a SCAN calculation of a PBEsol-optimized structure of Be2FeOs, from the Alexandria database.

Summary:
- Offset from the most stable computed form: 30 meV per atom
- Density: 11.2 g cm⁻³
- Total DFT energy (no corrections): -1.8239 Ry/atom
- Formation energy from the elements: -0.14 eV/atom

Unit cell a=2.681 b=2.681 c=5.472 alpha=90.00 beta=90.00 gamma=90.00
Fractional coordinates of all 4 atoms:
1 Be 0.000 0.000 0.036
2 Be 0.500 0.500 0.236
3 Os 0.500 0.500 0.758
4 Fe 0.000 0.000 0.470

(10)
The following is a SCAN calculation of a PBEsol-optimized structure of Be4FeOs, from the Alexandria database.

Summary:
- Density: 8.8 g cm⁻³
- Total DFT energy (no corrections): -1.3417 Ry/atom
- Formation energy from the elements: -0.35 eV/atom

Unit cell a=4.228 b=4.228 c=4.228 alpha=60.00 beta=60.00 gamma=60.00
Fractional coordinates of all 6 atoms:
1 Be 0.375 0.375 0.375
2 Be 0.375 0.375 0.875
3 Be 0.875 0.375 0.375
4 Be 0.375 0.875 0.375
5 Os 0.000 0.000 0.000
6 Fe 0.750 0.750 0.750

(11)
The following is a SCAN calculation of a PBEsol-optimized structure of BeFeOs2, from the Alexandria database.

Summary:
- Density: 15.7 g cm⁻³
- Total DFT energy (no corrections): -3.0594 Ry/atom
- Formation energy from the elements: -0.06 eV/atom

Unit cell a=2.844 b=4.068 c=4.068 alpha=90.00 beta=90.00 gamma=90.00
Fractional coordinates of all 4 atoms:
1 Be 0.500 0.500 0.500
2 Os 0.000 0.000 0.500
3 Os 0.000 0.500 0.000
4 Fe 0.500 0.000 0.000

(12)
The following is a SCAN calculation of a PBEsol-optimized structure of Be2FeOs, from the Alexandria database.

Summary:
- Offset from the most stable computed form: 78 meV per atom
- Density: 11.1 g cm⁻³
- Total DFT energy (no corrections): -1.8204 Ry/atom
- Formation energy from the elements: -0.09 eV/atom

Unit cell a=2.776 b=3.723 c=4.476 alpha=114.58 beta=108.06 gamma=90.00
Fractional coordinates of all 4 atoms:
1 Be 0.014 0.514 0.027
2 Be 0.742 0.742 0.484
3 Os 0.254 0.254 0.508
4 Fe 0.490 0.990 0.980

Q: Which value of total DFT energy (no corrections) does entry 1 give?
A: -1.1117 Ry/atom

Q: Which of these has the lowest total DFT energy (no corrections)?
A: BeFeOs2